Mn2InAg | PBE | relaxed

a b c (Å): 4.9558 4.9558 5.0710
angles (deg): 79.32 79.32 34.98
Each line ends with the local moment (μB).
Positions (direct):
1 Ag 0.7500 0.7500 0.7500  0.01
2 In 0.2500 0.2500 0.2500  -0.10
3 Mn 0.0008 0.0008 0.0004  3.57
4 Mn 0.4992 0.4992 0.4996  3.57

* ΔE_f: 332 meV/atom
* total moment: 7.3 μB per cell
* E_tot: -22.60 eV/f.u.